(1)
Y2SiSb after structural relaxation. Source: Alexandria via LeMat-Bulk, functional PBE.

Calculated values
Its density of states at the Fermi level is 1.45 states/eV/atom. For the formation energy (no corrections), the calculation gives -0.2 eV per formula unit.

Lattice parameters (Å, degrees): 7.3267 7.3267 7.3267 90.00 90.00 90.00
Last column: nearest neighbours and their distance in Å.
Space group F-43m (No. 216)
Unique sites:
Y 0.0000 0.0000 0.0000 x4  4 Si 3.17, 4 Y 3.17
Y 0.2500 0.2500 0.2500 x4  4 Sb 3.17, 4 Y 3.17
Si 0.2500 0.2500 0.7500 x4  4 Sb 3.17, 4 Y 3.17
Sb 0.0000 0.0000 0.5000 x4  4 Y 3.17, 4 Si 3.17

---

(2)
Y2SiSb after structural relaxation. Source: Alexandria via LeMat-Bulk, functional PBE.

Calculated values
Its density of states at the Fermi level is 1.12 states/eV/atom. For the formation energy (no corrections), the calculation gives -2.2 eV per formula unit.

Lattice parameters (Å, degrees): 7.3779 7.3779 7.3779 90.00 90.00 90.00
Last column: nearest neighbours and their distance in Å.
Space group Fm-3m (No. 225)
Unique sites:
Y 0.2500 0.2500 0.2500 x8  4 Sb 3.19, 4 Si 3.19
Si 0.0000 0.0000 0.0000 x4  8 Y 3.19
Sb 0.0000 0.0000 0.5000 x4  8 Y 3.19

---

(3)
Y4SiSb after structural relaxation. Source: Alexandria via LeMat-Bulk, functional PBE.

Calculated values
Its density of states at the Fermi level is 1.09 states/eV/atom. For the formation energy (no corrections), the calculation gives 1.4 eV per formula unit.

Lattice parameters (Å, degrees): 8.7286 8.7286 8.7286 90.00 90.00 90.00
Last column: nearest neighbours and their distance in Å.
Space group F-43m (No. 216)
Unique sites:
Y 0.1253 0.1253 0.1253 x16  6 Y 3.08-3.09
Si 0.0000 0.0000 0.5000 x4  12 Y 3.62, 4 Sb 3.78
Sb 0.2500 0.2500 0.7500 x4  12 Y 3.62, 4 Si 3.78

---

(4)
Y2SiSb after structural relaxation. Source: Alexandria via LeMat-Bulk, functional PBE.

Calculated values
Its density of states at the Fermi level is 0.28 states/eV/atom. For the formation energy (no corrections), the calculation gives -3.3 eV per formula unit.

Lattice parameters (Å, degrees): 11.1033 4.2516 4.2260 90.00 93.36 90.00
Last column: nearest neighbours and their distance in Å.
Space group Cm (No. 8)
Unique sites:
Y 0.0000 0.0000 0.0000 x2  4 Si 3.01-3.03, 3 Sb 3.10-3.25
Y 0.2286 0.5000 0.5087 x2  1 Si 2.88, 4 Sb 3.04-3.06
Si 0.4693 0.0000 0.4914 x2  2 Sb 2.82-3.16, 5 Y 2.88-3.03
Sb 0.2791 0.0000 0.0187 x2  2 Si 2.82-3.16, 5 Y 3.04-3.10

---

(5)
YSiSb2 after structural relaxation. Source: Alexandria via LeMat-Bulk, functional PBE.

Calculated values
Its density of states at the Fermi level is 0.66 states/eV/atom. For the formation energy (no corrections), the calculation gives -0.7 eV per formula unit.

Lattice parameters (Å, degrees): 8.2852 8.2852 6.0801 90.00 90.00 90.00
Last column: nearest neighbours and their distance in Å.
Space group I-42d (No. 122)
Unique sites:
Y 0.0000 0.0000 0.0000 x4  2 Si 3.04, 4 Sb 3.17
Si 0.0000 0.0000 0.5000 x4  4 Sb 2.89, 2 Y 3.04
Sb 0.2249 0.2500 0.6250 x8  2 Si 2.89, 2 Sb 3.07, 2 Y 3.17

---

(6)
YSiSb after structural relaxation. Source: Alexandria via LeMat-Bulk, functional PBE.

Calculated values
Its density of states at the Fermi level is 1.14 states/eV/atom. For the formation energy (no corrections), the calculation gives -0.2 eV per formula unit.

Lattice parameters (Å, degrees): 3.8776 3.8776 5.9615 90.00 90.00 120.00
Last column: nearest neighbours and their distance in Å.
Space group P3m1 (No. 156)
Unique sites:
Y 0.0000 0.0000 0.0000 x1  3 Si 2.99, 3 Sb 3.30
Si 0.3333 0.6667 0.6667 x1  3 Sb 2.72, 3 Y 2.99
Sb 0.6667 0.3333 0.4065 x1  3 Si 2.72

---

(7)
YSiSb2 after structural relaxation. Source: Alexandria via LeMat-Bulk, functional PBE.

Calculated values
Its density of states at the Fermi level is 0.38 states/eV/atom. For the formation energy (no corrections), the calculation gives -1.1 eV per formula unit.

Lattice parameters (Å, degrees): 4.0648 4.0958 6.0207 90.00 100.22 90.00
Last column: nearest neighbours and their distance in Å.
Space group P2/m (No. 10)
Unique sites:
Y 0.0000 0.0000 0.0000 x1  2 Si 3.01, 8 Sb 3.23-3.32
Si 0.0000 0.0000 0.5000 x1  4 Sb 2.95, 2 Y 3.01
Sb 0.4498 0.5000 0.7399 x2  2 Si 2.95, 2 Sb 2.99-3.09, 2 Y 3.23

---

(8)
YSiSb2 after structural relaxation. Source: Alexandria via LeMat-Bulk, functional PBE.

Calculated values
Its density of states at the Fermi level is 0.61 states/eV/atom. For the formation energy (no corrections), the calculation gives -0.9 eV per formula unit.

Lattice parameters (Å, degrees): 4.7752 4.7752 4.2782 90.00 90.00 90.00
Last column: nearest neighbours and their distance in Å.
Space group P4/mmm (No. 123)
Unique sites:
Y 0.0000 0.0000 0.0000 x1  8 Sb 3.21, 4 Si 3.38
Si 0.5000 0.5000 0.0000 x1  8 Sb 3.21, 4 Y 3.38
Sb 0.0000 0.5000 0.5000 x2  4 Si 3.21, 4 Y 3.21, 4 Sb 3.38

---

(9)
Y5SiSb2 after structural relaxation. Source: Alexandria via LeMat-Bulk, functional PBE.

Calculated values
Its density of states at the Fermi level is 0.96 states/eV/atom. For the formation energy (no corrections), the calculation gives -4.1 eV per formula unit.

Lattice parameters (Å, degrees): 5.9610 12.6236 13.9267 90.00 90.00 90.00
Last column: nearest neighbours and their distance in Å.
Space group Cmcm (No. 63)
Unique sites:
Y 0.0000 0.0589 0.1193 x8  1 Si 2.77, 2 Sb 3.02-3.04
Y 0.0000 0.3090 0.7500 x4  2 Si 3.01, 2 Sb 3.02
Y 0.0000 0.3615 0.0827 x8  1 Si 2.90, 3 Sb 3.02-3.16
Si 0.0000 0.2247 0.2500 x4  6 Y 2.77-3.01
Sb 0.0000 0.1758 0.5697 x8  6 Y 3.02-3.16

---

(10)
YSiSb2 after structural relaxation. Source: Alexandria via LeMat-Bulk, functional PBE.

Calculated values
Its density of states at the Fermi level is 0.85 states/eV/atom. For the formation energy (no corrections), the calculation gives -0.6 eV per formula unit.

Lattice parameters (Å, degrees): 3.4535 3.4535 8.8884 90.00 90.00 90.00
Last column: nearest neighbours and their distance in Å.
Space group P4mm (No. 99)
Unique sites:
Y 0.0000 0.0000 0.0000 x1  4 Si 3.12, 5 Sb 3.31, 4 Y 3.45
Si 0.5000 0.5000 0.7822 x1  4 Sb 2.80, 4 Y 3.12
Sb 0.0000 0.0000 0.6278 x1  4 Si 2.80
Sb 0.5000 0.5000 0.2519 x1  4 Y 3.31, 4 Sb 3.45

---

(11)
YSiSb4 after structural relaxation. Source: Alexandria via LeMat-Bulk, functional PBE.

Calculated values
Its density of states at the Fermi level is 0.69 states/eV/atom. For the formation energy (no corrections), the calculation gives 1.5 eV per formula unit.

Lattice parameters (Å, degrees): 8.7023 8.7023 8.7023 90.00 90.00 90.00
Last column: nearest neighbours and their distance in Å.
Space group F-43m (No. 216)
Unique sites:
Y 0.0000 0.0000 0.0000 x4  12 Sb 3.61, 4 Si 3.77
Si 0.2500 0.2500 0.2500 x4  12 Sb 3.61, 4 Y 3.77
Sb 0.1249 0.1249 0.6249 x16  6 Sb 3.07-3.08

---

(12)
Y2SiSb after structural relaxation. Source: Alexandria via LeMat-Bulk, functional PBE.

Calculated values
Its density of states at the Fermi level is 0.92 states/eV/atom. For the formation energy (no corrections), the calculation gives -1.0 eV per formula unit.

Lattice parameters (Å, degrees): 5.1242 5.1404 7.8202 90.00 90.00 90.00
Last column: nearest neighbours and their distance in Å.
Space group Cmm2 (No. 35)
Unique sites:
Y 0.0000 0.0000 0.0000 x2  4 Si 3.09, 1 Sb 3.12
Y 0.0000 0.5000 0.3593 x2  4 Sb 3.18-3.19, 1 Si 3.29
Si 0.0000 0.5000 0.7797 x2  4 Sb 2.92-2.93, 4 Y 3.09
Sb 0.0000 0.0000 0.6011 x2  4 Si 2.92-2.93, 5 Y 3.12-3.19

---

(13)
YSiSb2 after structural relaxation. Source: Alexandria via LeMat-Bulk, functional PBE.

Calculated values
Its density of states at the Fermi level is 0.44 states/eV/atom. For the formation energy (no corrections), the calculation gives -1.2 eV per formula unit.

Lattice parameters (Å, degrees): 4.1346 4.1346 6.2656 90.00 90.00 90.00
Last column: nearest neighbours and their distance in Å.
Space group P4mm (No. 99)
Unique sites:
Y 0.0000 0.0000 0.0000 x1  6 Sb 2.99-3.26
Si 0.5000 0.5000 0.6645 x1  5 Sb 2.74-3.06
Sb 0.0000 0.0000 0.5205 x1  2 Y 3.00-3.26, 4 Si 3.06
Sb 0.5000 0.5000 0.1020 x1  1 Si 2.74, 4 Y 2.99

---

(14)
Y2SiSb after structural relaxation. Source: Alexandria via LeMat-Bulk, functional PBE.

Calculated values
Its density of states at the Fermi level is 0.62 states/eV/atom. For the formation energy (no corrections), the calculation gives -2.6 eV per formula unit.

Lattice parameters (Å, degrees): 4.4252 5.6523 8.1130 90.00 90.00 90.00
Last column: nearest neighbours and their distance in Å.
Space group Immm (No. 71)
Unique sites:
Y 0.0000 0.0000 0.2364 x4  2 Si 2.93, 2 Sb 3.08
Si 0.0000 0.5000 0.5000 x2  4 Y 2.93
Sb 0.0000 0.5000 0.0000 x2  8 Y 3.08-3.42

---

(15)
YSiSb after structural relaxation. Source: Alexandria via LeMat-Bulk, functional PBE.

Calculated values
Its density of states at the Fermi level is 0.71 states/eV/atom. For the formation energy (no corrections), the calculation gives -0.4 eV per formula unit.

Lattice parameters (Å, degrees): 6.8533 6.8533 6.8533 90.00 90.00 90.00
Last column: nearest neighbours and their distance in Å.
Space group F-43m (No. 216)
Unique sites:
Y 0.0000 0.0000 0.0000 x4  4 Si 2.97
Si 0.2500 0.2500 0.2500 x4  4 Sb 2.97, 4 Y 2.97
Sb 0.0000 0.0000 0.5000 x4  4 Si 2.97

---

(16)
YSiSb2 after structural relaxation. Source: Alexandria via LeMat-Bulk, functional PBE.

Calculated values
Its density of states at the Fermi level is 0.69 states/eV/atom. For the formation energy (no corrections), the calculation gives -0.9 eV per formula unit.

Lattice parameters (Å, degrees): 4.0267 4.0267 23.1294 90.00 90.00 120.00
Last column: nearest neighbours and their distance in Å.
Space group R3m (No. 160, hexagonal axes)
Unique sites:
Y 0.0000 0.0000 0.0000 x3  3 Si 2.93, 3 Sb 3.13
Si 0.0000 0.0000 0.2560 x3  3 Sb 2.72, 3 Y 2.93
Sb 0.0000 0.0000 0.5285 x3  3 Si 2.72
Sb 0.0000 0.0000 0.7575 x3  3 Y 3.13, 3 Sb 3.35

---

(17)
YSiSb after structural relaxation. Source: Alexandria via LeMat-Bulk, functional PBE.

Calculated values
Its density of states at the Fermi level is 0.61 states/eV/atom. For the formation energy (no corrections), the calculation gives -0.8 eV per formula unit.

Lattice parameters (Å, degrees): 4.6659 4.6659 3.8951 90.00 90.00 120.00
Last column: nearest neighbours and their distance in Å.
Space group P-6m2 (No. 187)
Unique sites:
Y 0.0000 0.0000 0.0000 x1  6 Sb 3.32, 6 Si 3.32
Si 0.3333 0.6667 0.5000 x1  3 Sb 2.69
Sb 0.6667 0.3333 0.5000 x1  3 Si 2.69

---

(18)
Zn2SiSb after structural relaxation. Source: Alexandria via LeMat-Bulk, functional PBE.

Calculated values
Its density of states at the Fermi level is 0.34 states/eV/atom. For the formation energy (no corrections), the calculation gives 1.0 eV per formula unit.

Lattice parameters (Å, degrees): 3.0001 3.9355 6.6774 90.00 102.47 90.00
Last column: nearest neighbours and their distance in Å.
Space group Pm (No. 6)
Unique sites:
Zn 0.0000 0.0000 0.0000 x1  1 Si 2.59, 2 Zn 2.88
Zn 0.3962 0.5000 0.7706 x1  4 Si 2.70-2.71, 6 Zn 2.88-3.00
Si 0.8189 0.0000 0.6030 x1  5 Zn 2.59-2.71
Sb 0.6583 0.5000 0.2578 x1  5 Zn 2.94-3.18, 2 Si 2.99, 2 Sb 3.00

---

(19)
ZnSi2Sb after structural relaxation. Source: Alexandria via LeMat-Bulk, functional PBE.

Calculated values
Its density of states at the Fermi level is 0.36 states/eV/atom. For the formation energy (no corrections), the calculation gives 1.4 eV per formula unit.

Lattice parameters (Å, degrees): 3.6141 3.8314 11.1066 90.00 90.00 90.00
Last column: nearest neighbours and their distance in Å.
Space group Imm2 (No. 44)
Unique sites:
Zn 0.0000 0.0000 0.0000 x2  6 Si 2.64-2.70, 2 Sb 2.92
Si 0.0000 0.0000 0.5173 x2  2 Si 2.49, 4 Zn 2.64
Si 0.0000 0.5000 0.1716 x2  2 Si 2.49, 2 Zn 2.70
Sb 0.0000 0.5000 0.8017 x2  2 Zn 2.92, 6 Si 3.00

---

(20)
Zn2SiSb2 after structural relaxation. Source: Alexandria via LeMat-Bulk, functional PBE.

Calculated values
Its density of states at the Fermi level is 0.43 states/eV/atom. For the formation energy (no corrections), the calculation gives 2.7 eV per formula unit.

Lattice parameters (Å, degrees): 4.5169 4.5169 11.5593 90.00 90.00 90.00
Last column: nearest neighbours and their distance in Å.
Space group I4/mmm (No. 139)
Unique sites:
Zn 0.0000 0.0000 0.1013 x4  1 Zn 2.34
Si 0.0000 0.0000 0.5000 x2  8 Zn 3.40, 8 Sb 3.67
Sb 0.0000 0.5000 0.2500 x4  4 Zn 2.84